1 | An optimized crystal structure of TbNd3Dy2, computed with GGA-PBE.

```
data_TbNd3Dy2
_chemical_formula_sum 'Tb4 Nd12 Dy8'
_symmetry_space_group_name_H-M 'C 1 2/m 1'
_symmetry_Int_Tables_number 12
_symmetry_space_group_name_Hall '-C 2y'
_cell_length_a 17.1861
_cell_length_b 5.7296
_cell_length_c 9.8823
_cell_angle_alpha 90.00
_cell_angle_beta 124.91
_cell_angle_gamma 90.00
loop_
_atom_site_label
_atom_site_fract_x
_atom_site_fract_y
_atom_site_fract_z
Tb1 0.1238 0.0000 0.1164
Nd1 0.0018 0.0000 0.3320
Nd2 0.1253 0.5000 0.6348
Nd3 0.2488 0.5000 0.4231
Dy1 0.0014 0.5000 0.1648
Dy2 0.2484 0.5000 0.0866
```

Properties
**Volume**: 798.0 Å³/cell

2 | An optimized crystal structure of TbNd3Dy2, computed with GGA-PBE.

```
data_TbNd3Dy2
_chemical_formula_sum 'Tb8 Nd24 Dy16'
_symmetry_space_group_name_H-M 'F d d d'
_symmetry_Int_Tables_number 70
_cell_length_a 7.2298
_cell_length_b 10.2227
_cell_length_c 21.6988
_cell_angle_alpha 90.00
_cell_angle_beta 90.00
_cell_angle_gamma 90.00
loop_
_symmetry_equiv_pos_as_xyz
'x,y,z'
'-x,-y,-z'
'-x+1/4,-y+1/4,z'
'x+1/4,y+1/4,-z'
'x,-y+1/4,-z+1/4'
'-x,y+1/4,z+1/4'
'-x+1/4,y,-z+1/4'
'x+1/4,-y,z+1/4'
'x,y+1/2,z+1/2'
'-x,-y+1/2,-z+1/2'
'-x+1/4,-y+3/4,z+1/2'
'x+1/4,y+3/4,-z+1/2'
'x,-y+3/4,-z+3/4'
'-x,y+3/4,z+3/4'
'-x+1/4,y+1/2,-z+3/4'
'x+1/4,-y+1/2,z+3/4'
'x+1/2,y,z+1/2'
'-x+1/2,-y,-z+1/2'
'-x+3/4,-y+1/4,z+1/2'
'x+3/4,y+1/4,-z+1/2'
'x+1/2,-y+1/4,-z+3/4'
'-x+1/2,y+1/4,z+3/4'
'-x+3/4,y,-z+3/4'
'x+3/4,-y,z+3/4'
'x+1/2,y+1/2,z'
'-x+1/2,-y+1/2,-z'
'-x+3/4,-y+3/4,z'
'x+3/4,y+3/4,-z'
'x+1/2,-y+3/4,-z+1/4'
'-x+1/2,y+3/4,z+1/4'
'-x+3/4,y+1/2,-z+1/4'
'x+3/4,-y+1/2,z+1/4'
loop_
_atom_site_label
_atom_site_fract_x
_atom_site_fract_y
_atom_site_fract_z
Tb1 0.1250 0.1250 0.1250
Nd1 0.1250 0.1250 0.2917
Nd2 0.1250 0.1250 0.6250
Dy1 0.1250 0.1250 0.4584
```

Properties
**Volume**: 1603.7 Å³/cell

The structure with the greatest stability is 2.

1 | An optimized crystal structure of Tb2Nd5Dy4, computed with GGA-PBE.

```
data_Tb2Nd5Dy4
_chemical_formula_sum 'Tb4 Nd10 Dy8'
_symmetry_space_group_name_H-M 'I m m m'
_symmetry_Int_Tables_number 71
_symmetry_space_group_name_Hall '-I 2 2'
_cell_length_a 3.5346
_cell_length_b 9.1914
_cell_length_c 23.5568
_cell_angle_alpha 90.00
_cell_angle_beta 90.00
_cell_angle_gamma 90.00
loop_
_atom_site_label
_atom_site_fract_x
_atom_site_fract_y
_atom_site_fract_z
Tb1 0.0000 0.0000 0.2306
Nd1 0.0000 0.2013 0.3533
Nd2 0.0000 0.5000 0.0000
Dy1 0.0000 0.0000 0.0966
Dy2 0.0000 0.3116 0.5000
```

Properties
**Volume**: 765.3 Å³/cell

2 | An optimized crystal structure of Tb2Nd5Dy4, computed with GGA-PBE.

```
data_Tb2Nd5Dy4
_chemical_formula_sum 'Tb4 Nd10 Dy8'
_symmetry_space_group_name_H-M 'C 1 2/m 1'
_symmetry_Int_Tables_number 12
_symmetry_space_group_name_Hall '-C 2y'
_cell_length_a 17.7656
_cell_length_b 3.5603
_cell_length_c 11.6708
_cell_angle_alpha 90.00
_cell_angle_beta 94.01
_cell_angle_gamma 90.00
loop_
_atom_site_label
_atom_site_fract_x
_atom_site_fract_y
_atom_site_fract_z
Tb1 0.2160 0.0000 0.3533
Nd1 0.0000 0.0000 0.0000
Nd2 0.0964 0.5000 0.5358
Nd3 0.1767 0.5000 0.0708
Dy1 0.0352 0.5000 0.2602
Dy2 0.1405 0.0000 0.7957
```

Properties
**Volume**: 736.4 Å³/cell

The structure with the greatest stability is 2.

1 | An optimized crystal structure of Tb2NdDy6, computed with GGA-PBE.

```
data_Tb2NdDy6
_chemical_formula_sum 'Tb4 Nd2 Dy12'
_symmetry_space_group_name_H-M 'C 1 2/m 1'
_symmetry_Int_Tables_number 12
_symmetry_space_group_name_Hall '-C 2y'
_cell_length_a 11.5128
_cell_length_b 3.4491
_cell_length_c 15.2629
_cell_angle_alpha 90.00
_cell_angle_beta 100.45
_cell_angle_gamma 90.00
loop_
_atom_site_label
_atom_site_fract_x
_atom_site_fract_y
_atom_site_fract_z
Tb1 0.1659 0.0000 0.1660
Nd1 0.0000 0.5000 0.5000
Dy1 0.0417 0.5000 0.7320
Dy2 0.1269 0.0000 0.9376
Dy3 0.2065 0.0000 0.3949
```

Properties
**Volume**: 596.0 Å³/cell

2 | An optimized crystal structure of Tb2NdDy6, computed with GGA-PBE.

```
data_Tb2NdDy6
_chemical_formula_sum 'Tb4 Nd2 Dy12'
_symmetry_space_group_name_H-M 'P 42/m n m'
_symmetry_Int_Tables_number 136
_symmetry_space_group_name_Hall '-P 4n 2n'
_cell_length_a 10.6790
_cell_length_b 10.6790
_cell_length_c 5.0359
_cell_angle_alpha 90.00
_cell_angle_beta 90.00
_cell_angle_gamma 90.00
loop_
_atom_site_label
_atom_site_fract_x
_atom_site_fract_y
_atom_site_fract_z
Tb1 0.1676 0.1676 0.0000
Nd1 0.0000 0.0000 0.5000
Dy1 0.0003 0.3343 0.5000
Dy2 0.1675 0.8325 0.0000
```

Properties
**Volume**: 574.3 Å³/cell

The structure with the greatest stability is 2.

1 | An optimized crystal structure of Tb7Nd4Dy, computed with GGA-PBE.

```
data_Tb7Nd4Dy
_chemical_formula_sum 'Tb7 Nd4 Dy1'
_symmetry_space_group_name_H-M 'P -1'
_symmetry_Int_Tables_number 2
_symmetry_space_group_name_Hall '-P 1'
_cell_length_a 6.5768
_cell_length_b 6.8794
_cell_length_c 9.1426
_cell_angle_alpha 85.54
_cell_angle_beta 77.41
_cell_angle_gamma 82.29
loop_
_atom_site_label
_atom_site_fract_x
_atom_site_fract_y
_atom_site_fract_z
Tb1 0.0000 0.0000 0.0000
Tb2 0.1877 0.6062 0.3833
Tb3 0.3189 0.1971 0.6401
Tb4 0.4887 0.7473 0.0507
Nd1 0.1598 0.1154 0.3073
Nd2 0.3609 0.6899 0.7176
Dy1 0.0000 0.5000 0.0000
```

Properties
**Volume**: 399.6 Å³/cell

2 | An optimized crystal structure of Tb7Nd4Dy, computed with GGA-PBE.

```
data_Tb7Nd4Dy
_chemical_formula_sum 'Tb14 Nd8 Dy2'
_symmetry_space_group_name_H-M 'C 1 2/m 1'
_symmetry_Int_Tables_number 12
_symmetry_space_group_name_Hall '-C 2y'
_cell_length_a 12.1257
_cell_length_b 5.9642
_cell_length_c 12.8540
_cell_angle_alpha 90.00
_cell_angle_beta 118.00
_cell_angle_gamma 90.00
loop_
_atom_site_label
_atom_site_fract_x
_atom_site_fract_y
_atom_site_fract_z
Tb1 0.0000 0.0000 0.0000
Tb2 0.1358 0.5000 0.5042
Tb3 0.2117 0.0000 0.9233
Tb4 0.2443 0.5000 0.3128
Nd1 0.0565 0.0000 0.3320
Nd2 0.1376 0.5000 0.7775
Dy1 0.0000 0.5000 0.0000
```

Properties
**Volume**: 820.8 Å³/cell

The structure with the greatest stability is 1.